<one>
Computed, not measured: Lu4B6O15 after structural relaxation at the GGA-PBEsol level of DFT.

Geometry as POSCAR:
```
Lu4B6O15
1.0
6.583 3.800 2.274
-6.583 3.800 2.274
0.000 -7.601 2.274
Lu B O
4 6 15
Cartesian
0.000 0.000 0.000 Lu
-4.602 -1.323 4.076 Lu
3.447 -3.324 4.076 Lu
1.155 4.647 4.076 Lu
-2.234 -0.504 2.343 B
1.553 -1.683 2.343 B
0.681 2.187 2.343 B
-1.497 -1.408 4.593 B
-0.471 2.000 4.593 B
1.968 -0.592 4.593 B
-1.786 -0.238 1.069 O
-3.529 -0.148 2.637 O
1.099 -1.427 1.069 O
0.687 1.666 1.069 O
-1.376 -1.183 3.221 O
1.893 -2.982 2.637 O
-2.754 -1.319 5.168 O
-0.336 1.783 3.221 O
1.712 -0.600 3.221 O
1.636 3.131 2.637 O
-0.393 -1.709 5.388 O
-1.283 1.195 5.388 O
2.519 -1.726 5.168 O
0.235 3.045 5.168 O
1.676 0.514 5.388 O
```

Calculated values
**Fermi-level density of states**: 0.0 states/eV per cell

<two>
Computed, not measured: Lu4B6O15 after structural relaxation at the GGA-PBEsol level of DFT.

Geometry as POSCAR:
```
Lu4B6O15
1.0
5.726 -2.157 0.000
5.726 2.157 0.000
-1.992 0.000 18.201
Lu B O
8 12 30
Cartesian
2.356 1.289 16.352 Lu
2.779 1.240 12.676 Lu
6.108 1.289 10.949 Lu
5.685 1.240 14.625 Lu
3.775 -1.240 3.576 Lu
3.352 -1.289 7.252 Lu
6.681 -1.240 5.525 Lu
7.104 -1.289 1.849 Lu
2.762 1.347 9.550 B
4.309 1.008 5.559 B
4.483 0.882 1.571 B
6.146 1.008 3.541 B
5.702 1.347 17.752 B
5.973 0.882 7.529 B
3.487 -0.882 10.672 B
3.758 -1.347 0.449 B
3.313 -1.008 14.659 B
4.977 -0.882 16.629 B
5.150 -1.008 12.642 B
6.698 -1.347 8.651 B
4.245 1.608 0.321 O
0.726 0.534 12.829 O
3.411 1.057 2.545 O
2.428 0.857 8.166 O
5.228 1.629 4.550 O
4.753 1.419 6.922 O
5.703 1.419 2.178 O
6.211 1.608 8.780 O
3.658 0.575 10.397 O
1.722 -0.534 3.728 O
3.354 0.422 14.605 O
7.044 1.057 6.556 O
4.806 0.575 16.904 O
5.110 0.422 12.696 O
1.432 -0.857 17.266 O
8.028 0.857 0.935 O
4.350 -0.422 5.505 O
4.654 -0.575 1.296 O
2.415 -1.057 11.645 O
6.106 -0.422 3.596 O
7.738 0.534 14.472 O
5.802 -0.575 7.804 O
3.249 -1.608 9.421 O
3.757 -1.419 16.022 O
4.707 -1.419 11.279 O
4.232 -1.629 13.651 O
7.032 -0.857 10.035 O
6.048 -1.057 15.656 O
8.734 -0.534 5.372 O
5.215 -1.608 17.880 O
```

Calculated values
**Fermi-level density of states**: 0.0 states/eV per cell

Name the most stable of them. <two>.